# KSbTe2Pd (GGA-PBE, relaxed)
# Uncorrected formation energy = 1.294 eV per atom
# Energy above the lowest structure with this stoichiometry = 142.6 kJ/mol of atoms
# Magnetic moment = 0.62 μB/f.u.
# ρ = 4.27 g/cm3
data_KSbTe2Pd
_cell_length_a 5.9098
_cell_length_b 5.9098
_cell_length_c 5.8127
_cell_angle_alpha 90.00
_cell_angle_beta 90.00
_cell_angle_gamma 90.00
_symmetry_space_group_name_H-M 'P 1'
_symmetry_Int_Tables_number 1
loop_
_symmetry_equiv_pos_as_xyz
'x,y,z'
loop_
_atom_site_label
_atom_site_type_symbol
_atom_site_fract_x
_atom_site_fract_y
_atom_site_fract_z
K1 K 0.0000 0.0000 0.0000
Sb1 Sb 0.0000 0.0000 0.5000
Te1 Te 0.0000 0.5000 0.0000
Te2 Te 0.5000 0.0000 0.0000
Pd1 Pd 0.5000 0.5000 0.5000


# KTlSbPd (GGA-PBE, relaxed)
# Uncorrected formation energy = -0.357 eV per atom
# Magnetic moment = 0.00 μB/f.u.
# ρ = 6.35 g/cm3
data_KTlSbPd
_cell_length_a 7.3649
_cell_length_b 7.3649
_cell_length_c 7.3649
_cell_angle_alpha 35.98
_cell_angle_beta 35.98
_cell_angle_gamma 35.98
_symmetry_space_group_name_H-M 'P 1'
_symmetry_Int_Tables_number 1
loop_
_symmetry_equiv_pos_as_xyz
'x,y,z'
loop_
_atom_site_label
_atom_site_type_symbol
_atom_site_fract_x
_atom_site_fract_y
_atom_site_fract_z
K1 K 0.0000 0.0000 0.0000
Tl1 Tl 0.2136 0.2136 0.2136
Sb1 Sb 0.4489 0.4489 0.4489
Pd1 Pd 0.8048 0.8048 0.8048


# KTlSbPd2 (GGA-PBE, relaxed)
# Uncorrected formation energy = -0.307 eV per atom
# Magnetic moment = 0.00 μB/f.u.
# ρ = 7.03 g/cm3
data_KTlSbPd2
_cell_length_a 7.5479
_cell_length_b 4.8075
_cell_length_c 7.5945
_cell_angle_alpha 90.00
_cell_angle_beta 97.66
_cell_angle_gamma 90.00
_symmetry_space_group_name_H-M 'P 1'
_symmetry_Int_Tables_number 1
loop_
_symmetry_equiv_pos_as_xyz
'x,y,z'
loop_
_atom_site_label
_atom_site_type_symbol
_atom_site_fract_x
_atom_site_fract_y
_atom_site_fract_z
K1 K 0.1331 0.2500 0.3554
K2 K 0.8669 0.7500 0.6446
Tl1 Tl 0.2071 0.7500 0.0053
Tl2 Tl 0.7929 0.2500 0.9947
Sb1 Sb 0.3764 0.7500 0.6280
Sb2 Sb 0.6236 0.2500 0.3720
Pd1 Pd 0.4166 0.2500 0.0563
Pd2 Pd 0.4883 0.7500 0.2963
Pd3 Pd 0.5117 0.2500 0.7037
Pd4 Pd 0.5834 0.7500 0.9437


# K3Tl4Sb2Pd2 (GGA-PBE, relaxed)
# Uncorrected formation energy = -0.100 eV per atom
# Magnetic moment = 0.00 μB/f.u.
# ρ = 6.15 g/cm3
data_K3Tl4Sb2Pd2
_cell_length_a 4.7900
_cell_length_b 4.7900
_cell_length_c 18.9017
_cell_angle_alpha 90.00
_cell_angle_beta 90.00
_cell_angle_gamma 120.00
_symmetry_space_group_name_H-M 'P 1'
_symmetry_Int_Tables_number 1
loop_
_symmetry_equiv_pos_as_xyz
'x,y,z'
loop_
_atom_site_label
_atom_site_type_symbol
_atom_site_fract_x
_atom_site_fract_y
_atom_site_fract_z
K1 K 0.0000 0.0000 0.0000
K2 K 0.0000 0.0000 0.2972
K3 K 0.0000 0.0000 0.7028
Tl1 Tl 0.3333 0.6667 0.4344
Tl2 Tl 0.3333 0.6667 0.8835
Tl3 Tl 0.6667 0.3333 0.1165
Tl4 Tl 0.6667 0.3333 0.5656
Sb1 Sb 0.3333 0.6667 0.1750
Sb2 Sb 0.6667 0.3333 0.8250
Pd1 Pd 0.3333 0.6667 0.5830
Pd2 Pd 0.6667 0.3333 0.4170


# K2Tl6SbPd (GGA-PBE, relaxed)
# Uncorrected formation energy = -0.070 eV per atom
# Magnetic moment = 0.00 μB/f.u.
# ρ = 7.29 g/cm3
data_K2Tl6SbPd
_cell_length_a 13.8569
_cell_length_b 13.8569
_cell_length_c 13.8569
_cell_angle_alpha 32.89
_cell_angle_beta 32.89
_cell_angle_gamma 32.89
_symmetry_space_group_name_H-M 'P 1'
_symmetry_Int_Tables_number 1
loop_
_symmetry_equiv_pos_as_xyz
'x,y,z'
loop_
_atom_site_label
_atom_site_type_symbol
_atom_site_fract_x
_atom_site_fract_y
_atom_site_fract_z
K1 K 0.0998 0.0998 0.0998
K2 K 0.2777 0.2777 0.2777
K3 K 0.7223 0.7223 0.7223
K4 K 0.9002 0.9002 0.9002
Tl1 Tl 0.0828 0.6649 0.6649
Tl2 Tl 0.2199 0.2199 0.6404
Tl3 Tl 0.2199 0.6404 0.2199
Tl4 Tl 0.3351 0.3351 0.9172
Tl5 Tl 0.3351 0.9172 0.3351
Tl6 Tl 0.3596 0.7801 0.7801
Tl7 Tl 0.6404 0.2199 0.2199
Tl8 Tl 0.6649 0.0828 0.6649
Tl9 Tl 0.6649 0.6649 0.0828
Tl10 Tl 0.7801 0.3596 0.7801
Tl11 Tl 0.7801 0.7801 0.3596
Tl12 Tl 0.9172 0.3351 0.3351
Sb1 Sb 0.4284 0.4284 0.4284
Sb2 Sb 0.5716 0.5716 0.5716
Pd1 Pd 0.0000 0.0000 0.0000
Pd2 Pd 0.5000 0.5000 0.5000


# KYSbPd2 (GGA-PBE, relaxed)
# Uncorrected formation energy = 0.895 eV per atom
# Magnetic moment = 0.00 μB/f.u.
# ρ = 5.63 g/cm3
data_KYSbPd2
_cell_length_a 4.8667
_cell_length_b 4.8667
_cell_length_c 5.7607
_cell_angle_alpha 90.00
_cell_angle_beta 90.00
_cell_angle_gamma 90.00
_symmetry_space_group_name_H-M 'P 1'
_symmetry_Int_Tables_number 1
loop_
_symmetry_equiv_pos_as_xyz
'x,y,z'
loop_
_atom_site_label
_atom_site_type_symbol
_atom_site_fract_x
_atom_site_fract_y
_atom_site_fract_z
K1 K 0.0000 0.0000 0.0000
Y1 Y 0.0000 0.0000 0.5000
Sb1 Sb 0.5000 0.5000 0.5000
Pd1 Pd 0.0000 0.5000 0.0000
Pd2 Pd 0.5000 0.0000 0.0000


# K3ScPd (GGA-PBE, relaxed)
# Energy above the lowest structure with this stoichiometry = 55.6 kJ/mol of atoms
# Magnetic moment = 2.00 μB/f.u.
# ρ = 1.53 g/cm3
data_K3ScPd
_cell_length_a 6.6383
_cell_length_b 6.6383
_cell_length_c 6.6383
_cell_angle_alpha 90.00
_cell_angle_beta 90.00
_cell_angle_gamma 90.00
_symmetry_space_group_name_H-M 'P 1'
_symmetry_Int_Tables_number 1
loop_
_symmetry_equiv_pos_as_xyz
'x,y,z'
loop_
_atom_site_label
_atom_site_type_symbol
_atom_site_fract_x
_atom_site_fract_y
_atom_site_fract_z
K1 K 0.0000 0.0000 0.5000
K2 K 0.0000 0.5000 0.0000
K3 K 0.5000 0.0000 0.0000
Sc1 Sc 0.0000 0.0000 0.0000
Pd1 Pd 0.5000 0.5000 0.5000


# KSc3Pd (GGA-PBE, relaxed)
# Energy above the lowest structure with this stoichiometry = 0.0 kJ/mol of atoms
# Magnetic moment = 0.00 μB/f.u.
# ρ = 3.18 g/cm3
data_KSc3Pd
_cell_length_a 5.2688
_cell_length_b 5.2688
_cell_length_c 5.2688
_cell_angle_alpha 90.00
_cell_angle_beta 90.00
_cell_angle_gamma 90.00
_symmetry_space_group_name_H-M 'P 1'
_symmetry_Int_Tables_number 1
loop_
_symmetry_equiv_pos_as_xyz
'x,y,z'
loop_
_atom_site_label
_atom_site_type_symbol
_atom_site_fract_x
_atom_site_fract_y
_atom_site_fract_z
K1 K 0.0000 0.0000 0.0000
Sc1 Sc 0.0000 0.5000 0.5000
Sc2 Sc 0.5000 0.0000 0.5000
Sc3 Sc 0.5000 0.5000 0.0000
Pd1 Pd 0.5000 0.5000 0.5000